# 1
! Tb2ErIn2Ag2, relaxed, DFT PBE; values from VASP
! **Calculated formation energy**: -1.9 eV per formula unit
! **Raw total energy**: -26.91 eV per cell
! **N(E_F)**: 0.73 states/eV per atom
! **V**: 180.1 Å³ per cell
&SYSTEM
  ibrav = 0, nat = 7, ntyp = 4
/
ATOMIC_SPECIES
Ag 107.87 Ag.upf
In 114.82 In.upf
Tb 158.93 Tb.upf
Er 167.26 Er.upf
ATOMIC_POSITIONS crystal
Ag 0.3936 0.3936 0.8193
Ag 0.6064 0.6064 0.1807
In 0.2611 0.2611 0.2168
Tb 0.8743 0.8743 0.3771
Er 0.0000 0.0000 0.0000
Tb 0.1257 0.1257 0.6229
In 0.7389 0.7389 0.7832
CELL_PARAMETERS angstrom
-1.3244 -3.4131 -3.1498
-0.8346 -4.5044 1.5293
-9.2856 -0.5849 0.8356


# 2
! Er2InAgTe4, relaxed, DFT PBE; values from VASP
! **Raw total energy**: -68.93 eV per cell
! **V**: 505.4 Å³ per cell
&SYSTEM
  ibrav = 0, nat = 16, ntyp = 4
/
ATOMIC_SPECIES
Te 127.60 Te.upf
Ag 107.87 Ag.upf
In 114.82 In.upf
Er 167.26 Er.upf
ATOMIC_POSITIONS crystal
Te 0.5410 0.0819 0.2500
Ag 0.8429 0.6858 0.7500
In 0.1303 0.2606 0.7500
Er 0.3700 0.7400 0.5717
Te 0.0000 0.0000 0.0000
Te 0.7294 0.4588 0.6060
In 0.8697 0.7394 0.2500
Te 0.0000 0.0000 0.5000
Er 0.6300 0.2600 0.4283
Te 0.2706 0.5412 0.3940
Er 0.6300 0.2600 0.0717
Ag 0.1571 0.3142 0.2500
Te 0.7294 0.4588 0.8940
Te 0.2706 0.5412 0.1060
Te 0.4590 0.9181 0.7500
Er 0.3700 0.7400 0.9283
CELL_PARAMETERS angstrom
-4.3563 0.0523 0.4860
2.9127 -2.6551 6.6238
0.7885 14.5791 5.4972


Number 1 is which compound? Tb2ErIn2Ag2


Number 1 is which compound? Tb2ErIn2Ag2


Which value of raw total energy does entry 1 give? -26.91 eV per cell